This record from Alexandria via LeMat-Bulk describes a geometry-optimized LaPr8Ga6 structure. The functional is PBE.

The space group is R-3 (No. 148, hexagonal axes) and the conventional cell measures 9.0078, 9.0078 and 19.0777 Å, with angles of 90.00, 90.00 and 120.00 degrees. The inequivalent atoms are La at (0.0000, 0.0000, 0.0000), Pr at (0.0000, 0.0000, 0.3329), Pr at (0.0011, 0.3318, 0.1138) and Ga at (0.0001, 0.3360, 0.9443).


This record from Alexandria via LeMat-Bulk describes a geometry-optimized La3Pr4Ga4 structure. The functional is PBE.

The space group is Immm (No. 71) and the conventional cell measures 4.4869, 8.2079 and 17.9683 Å, with angles of 90.00, 90.00 and 90.00 degrees. The inequivalent atoms are La at (0.0000, 0.0000, 0.0000), La at (0.0000, 0.5000, 0.1038), Pr at (0.0000, 0.2967, 0.3341), Ga at (0.0000, 0.0000, 0.2383) and Ga at (0.0000, 0.1892, 0.5000).


This record from Alexandria via LeMat-Bulk describes a geometry-optimized La3Pr3Ga4 structure. The functional is PBE.

The space group is Amm2 (No. 38) and the conventional cell measures 4.5965, 11.2186 and 11.2721 Å, with angles of 90.00, 90.00 and 90.00 degrees. The inequivalent atoms are La at (0.0000, 0.0000, 0.0000), La at (0.5000, 0.2486, 0.0770), Pr at (0.0000, 0.0000, 0.6520), Pr at (0.0000, 0.1744, 0.3278), Ga at (0.5000, 0.0000, 0.2136), Ga at (0.5000, 0.0000, 0.4444) and Ga at (0.5000, 0.1167, 0.8253).


Number 1: Fermi-level density of states 18.077 states/eV/f.u., formation energy -0.35 eV per atom. Number 2: Fermi-level density of states 11.241 states/eV/f.u., formation energy -0.36 eV per atom. Number 3: Fermi-level density of states 10.636 states/eV/f.u., formation energy -0.48 eV per atom.